# 1
DFT (PBE-GGA) results for CaCo3 after structural relaxation.

Results
**Crystal system**: monoclinic

Lattice parameters (Å, degrees): 3.7867 2.7703 6.1359 73.71 90.00 90.00
Site moments in Bohr magnetons follow the coordinates.
Positions (direct):
Co 0.5000 0.7246 0.6756  1.63
Ca 0.0000 0.0000 0.0000  -0.10
Co 0.5000 0.2754 0.3244  1.63
Co 0.0000 0.5000 0.5000  1.78



# 2
DFT (PBE-GGA) results for CaCo2 after structural relaxation.

Results
**Crystal system**: hexagonal

Lattice parameters (Å, degrees): 3.8124 3.8124 4.4053 90.00 90.00 120.00
Site moments in Bohr magnetons follow the coordinates.
Positions (direct):
Co 0.3333 0.6667 0.0000  1.26
Ca 0.0000 0.0000 0.5000  -0.07
Co 0.6667 0.3333 0.0000  1.26



# 3
DFT (PBE-GGA) results for Ca3Co after structural relaxation.

Results
**Crystal system**: cubic

Lattice parameters (Å, degrees): 6.1691 6.1691 6.1691 90.00 90.00 90.00
Site moments in Bohr magnetons follow the coordinates.
Positions (direct):
Ca 0.5000 0.0000 0.7500  -0.05
Co 0.5000 0.5000 0.5000  1.39
Ca 0.2500 0.5000 0.0000  -0.05
Ca 0.5000 0.0000 0.2500  -0.05
Co 0.0000 0.0000 0.0000  1.39
Ca 0.0000 0.7500 0.5000  -0.05
Ca 0.0000 0.2500 0.5000  -0.05
Ca 0.7500 0.5000 0.0000  -0.05



# 4
DFT (PBE-GGA) results for CaCr2Co after structural relaxation.

Results
**Crystal system**: monoclinic
**Energy above the lowest structure with this stoichiometry**: 128 meV per atom

Lattice parameters (Å, degrees): 4.5993 4.5993 5.5363 74.22 74.22 38.60
Site moments in Bohr magnetons follow the coordinates.
Positions (direct):
Cr 0.7106 0.7106 0.8654  2.13
Co 0.2800 0.2800 0.1433  0.21
Cr 0.9970 0.9970 0.0038  -2.14
Ca 0.5124 0.5124 0.4874  -0.01



# 5
DFT (PBE-GGA) results for Ca4CrCo after structural relaxation.

Results
**Crystal system**: cubic

Lattice parameters (Å, degrees): 6.4949 6.4949 6.4949 60.00 60.00 60.00
Site moments in Bohr magnetons follow the coordinates.
Positions (direct):
Ca 0.3755 0.3755 0.3755  -0.03
Ca 0.3755 0.3755 0.8736  -0.03
Ca 0.8736 0.3755 0.3755  -0.03
Cr 0.0000 0.0000 0.0000  -4.04
Co 0.7500 0.7500 0.7500  1.98
Ca 0.3755 0.8736 0.3755  -0.03



# 6
DFT (PBE-GGA) results for Ca2CrCo2 after structural relaxation.

Results
**Crystal system**: tetragonal

Lattice parameters (Å, degrees): 6.1020 6.1020 4.7652 90.00 90.00 90.00
Positions (direct):
Co 0.8692 0.6308 0.0000
Ca 0.1829 0.6829 0.5000
Ca 0.6829 0.8171 0.5000
Co 0.1308 0.3692 0.0000
Cr 0.5000 0.5000 0.0000
Co 0.3692 0.8692 0.0000
Ca 0.8171 0.3171 0.5000
Co 0.6308 0.1308 0.0000
Cr 0.0000 0.0000 0.0000
Ca 0.3171 0.1829 0.5000



# 7
DFT (PBE-GGA) results for CaCr2Co after structural relaxation.

Results
**Crystal system**: cubic
**Energy above the lowest structure with this stoichiometry**: 207 meV per atom

Lattice parameters (Å, degrees): 4.5045 4.5045 4.5045 60.00 60.00 60.00
Site moments in Bohr magnetons follow the coordinates.
Positions (direct):
Ca 0.5000 0.5000 0.5000  0.09
Cr 0.0000 0.0000 0.0000  -2.95
Co 0.2500 0.2500 0.2500  -0.21
Cr 0.7500 0.7500 0.7500  3.19



# 8
DFT (PBE-GGA) results for CaCr4Co after structural relaxation.

Results
**Crystal system**: cubic

Lattice parameters (Å, degrees): 4.9155 4.9155 4.9155 60.00 60.00 60.00
Site moments in Bohr magnetons follow the coordinates.
Positions (direct):
Cr 0.3753 0.8742 0.3753  0.03
Cr 0.8742 0.3753 0.3753  0.03
Ca 0.7500 0.7500 0.7500  -0.01
Co 0.0000 0.0000 0.0000  0.92
Cr 0.3753 0.3753 0.3753  0.03
Cr 0.3753 0.3753 0.8742  0.03



# 9
DFT (PBE-GGA) results for CaCr3Co after structural relaxation.

Results
**Crystal system**: cubic
**Energy above the lowest structure with this stoichiometry**: 1787 meV per atom

Lattice parameters (Å, degrees): 4.2228 4.2228 4.2228 90.00 90.00 90.00
Site moments in Bohr magnetons follow the coordinates.
Positions (direct):
Cr 0.0000 0.0000 0.5000  -0.57
Cr 0.0000 0.5000 0.0000  -0.61
Co 0.5000 0.5000 0.5000  1.89
Cr 0.5000 0.0000 0.0000  -0.43
Ca 0.0000 0.0000 0.0000  -0.05



# 10
DFT (PBE-GGA) results for CaCr2Co after structural relaxation.

Results
**Crystal system**: monoclinic
**Energy above the lowest structure with this stoichiometry**: 440 meV per atom

Lattice parameters (Å, degrees): 4.9394 5.3478 2.5181 82.22 77.48 114.25
Site moments in Bohr magnetons follow the coordinates.
Positions (direct):
Co 0.5000 0.5000 0.0000  1.22
Ca 0.0000 0.5000 0.5000  -0.04
Cr 0.5000 0.0000 0.5000  0.38
Cr 0.0000 0.0000 0.0000  0.38



# 11
DFT (PBE-GGA) results for CaCr2Co after structural relaxation.

Results
**Crystal system**: tetragonal
**Energy above the lowest structure with this stoichiometry**: 0 meV per atom

Lattice parameters (Å, degrees): 3.0101 3.0101 7.1547 90.00 90.00 90.00
Site moments in Bohr magnetons follow the coordinates.
Positions (direct):
Cr 0.0000 0.0000 0.9924  -1.34
Cr 0.5000 0.5000 0.1725  2.61
Ca 0.0000 0.0000 0.5200  0.04
Co 0.5000 0.5000 0.8152  1.05



# 12
DFT (PBE-GGA) results for CaCr2Co after structural relaxation.

Results
**Crystal system**: orthorhombic
**Energy above the lowest structure with this stoichiometry**: 253 meV per atom

Lattice parameters (Å, degrees): 5.2136 5.2136 5.2136 144.19 125.77 66.70
Site moments in Bohr magnetons follow the coordinates.
Positions (direct):
Ca 0.4847 0.4847 0.0000  -0.03
Cr 0.0183 0.0183 0.0000  -2.77
Co 0.2237 0.7237 0.5000  0.40
Cr 0.7733 0.2733 0.5000  3.17



Number 1: ρ 5.83 g cm⁻³, calculated formation energy 0.383 eV/atom. Number 2: ρ 4.73 g cm⁻³, calculated formation energy 0.165 eV/atom. Number 3: ρ 2.53 g cm⁻³, calculated formation energy 0.476 eV/atom. Number 4: ρ 4.82 g cm⁻³, calculated formation energy 0.572 eV/atom. Number 5: ρ 2.32 g cm⁻³, calculated formation energy 1.084 eV/atom. Number 6: ρ 4.68 g cm⁻³, calculated formation energy 0.422 eV/atom. Number 7: ρ 5.22 g cm⁻³, calculated formation energy 0.650 eV/atom. Number 8: ρ 6.07 g cm⁻³, calculated formation energy 0.643 eV/atom. Number 9: ρ 5.62 g cm⁻³, calculated formation energy 2.711 eV/atom. Number 10: ρ 5.88 g cm⁻³, calculated formation energy 0.884 eV/atom. Number 11: ρ 5.20 g cm⁻³, calculated formation energy 0.444 eV/atom. Number 12: ρ 5.08 g cm⁻³, calculated formation energy 0.697 eV/atom.